Entry from the Alexandria database: PuCrTc after structural relaxation (GGA-PBE).

a b c (Å): 2.977 2.977 6.033
angles (deg): 104.28 104.28 90.00
Atoms (fractional coordinates):
Cr (0.690, 0.690, 0.381)
Tc (0.306, 0.306, 0.611)
Pu (0.004, 0.004, 0.008)

Energy above the lowest structure with this stoichiometry = 0 meV per atom
SG = No. 107
Calculated formation energy = 0.188 eV per atom
Calculated density = 13060 kg/m³